No. 1
{"formula": "MgTlNi", "functional": "meta-GGA SCAN", "state": "PBEsol geometry", "final_energy_ev_per_atom": -31.137, "delta_e_f_ev_per_atom": 0.03, "lattice_angstrom": [[-1.311, 3.034, -0.390], [-2.071, -0.568, 2.543], [4.779, 0.473, 1.820]], "species": ["Ni", "Tl", "Mg"], "frac_coords": [[0.660, 0.660, 0.321], [0.323, 0.323, 0.645], [0.017, 0.017, 0.034]]}

***

No. 2
{"formula": "Mg2TlNi2", "functional": "meta-GGA SCAN", "state": "PBEsol geometry", "final_energy_ev_per_atom": -22.984, "delta_e_f_ev_per_atom": -0.05, "lattice_angstrom": [[-0.519, 1.440, 3.331], [-6.432, 1.005, -1.436], [-1.477, -6.047, 2.385]], "species": ["Ni", "Ni", "Ni", "Ni", "Tl", "Tl", "Mg", "Mg", "Mg", "Mg"], "frac_coords": [[0.000, 0.372, 0.872], [0.000, 0.872, 0.628], [0.000, 0.628, 0.128], [0.000, 0.128, 0.372], [0.000, 0.000, 0.000], [0.000, 0.500, 0.500], [0.500, 0.162, 0.662], [0.500, 0.662, 0.838], [0.500, 0.838, 0.338], [0.500, 0.338, 0.162]]}

***

No. 3
{"formula": "MgTl2Ni", "functional": "meta-GGA SCAN", "state": "PBEsol geometry", "final_energy_ev_per_atom": -41.367, "delta_e_f_ev_per_atom": 0.10, "lattice_angstrom": [[-1.704, -2.850, 1.982], [-0.524, -1.636, -2.802], [6.776, -1.658, -0.300]], "species": ["Mg", "Ni", "Tl", "Tl"], "frac_coords": [[0.105, 0.000, 0.585], [0.644, 0.500, 0.665], [0.799, 0.000, 0.972], [0.452, 0.500, 0.278]]}

***

No. 4
{"formula": "MgTl2Ni", "functional": "meta-GGA SCAN", "state": "PBEsol geometry", "final_energy_ev_per_atom": -41.242, "delta_e_f_ev_per_atom": 0.22, "lattice_angstrom": [[-0.717, -4.338, -0.703], [4.659, 1.320, 1.205], [-2.972, -0.047, 3.315]], "species": ["Mg", "Ni", "Tl", "Tl"], "frac_coords": [[0.500, 0.000, 0.500], [0.000, 0.000, 0.000], [0.750, 0.500, 0.250], [0.250, 0.500, 0.750]]}